Material: Na2TbNi3F12
Method: DFT, GGA+U
State: relaxed

The structure in CIF format:
```
data_Na2TbNi3F12
_symmetry_space_group_name_H-M 'R -3 m'
_symmetry_Int_Tables_number 166
_symmetry_space_group_name_Hall '-R 3 2"'
_cell_length_a 7.3440
_cell_length_b 7.3440
_cell_length_c 15.6469
_cell_angle_alpha 90.00
_cell_angle_beta 90.00
_cell_angle_gamma 120.00
loop_
_atom_site_label
_atom_site_fract_x
_atom_site_fract_y
_atom_site_fract_z
Na1 0.0000 0.0000 0.1348
Tb1 0.0000 0.0000 0.5000
Ni1 0.0000 0.5000 0.0000
F1 0.0314 0.5157 0.8756
F2 0.0856 0.5428 0.3036
```

Results
**DFT total energy**: -250.73 eV for the cell shown

Material: NaTbNiF6
Method: DFT, GGA+U
State: relaxed

The structure in CIF format:
```
data_NaTbNiF6
_symmetry_space_group_name_H-M 'P -3 1 c'
_symmetry_Int_Tables_number 163
_symmetry_space_group_name_Hall '-P 3 2c'
_cell_length_a 5.6368
_cell_length_b 5.6368
_cell_length_c 9.5212
_cell_angle_alpha 90.00
_cell_angle_beta 90.00
_cell_angle_gamma 120.00
loop_
_atom_site_label
_atom_site_fract_x
_atom_site_fract_y
_atom_site_fract_z
Na1 0.0000 0.0000 0.0000
Tb1 0.3333 0.6667 0.2500
Ni1 0.3333 0.6667 0.7500
F1 0.0237 0.3666 0.6351
```

Results
**DFT total energy**: -95.92 eV for the cell shown

Material: Na2ThNiF8
Method: DFT, GGA+U
State: relaxed

The structure in CIF format:
```
data_Na2ThNiF8
_symmetry_space_group_name_H-M 'P -1'
_symmetry_Int_Tables_number 2
_symmetry_space_group_name_Hall '-P 1'
_cell_length_a 3.9214
_cell_length_b 5.4337
_cell_length_c 8.1149
_cell_angle_alpha 86.77
_cell_angle_beta 89.85
_cell_angle_gamma 88.07
loop_
_atom_site_label
_atom_site_fract_x
_atom_site_fract_y
_atom_site_fract_z
Na1 0.0071 0.0344 0.2114
Th1 0.5000 0.5000 0.5000
Ni1 0.5000 0.5000 0.0000
F1 0.0016 0.2768 0.4494
F2 0.0996 0.7270 0.0309
F3 0.4823 0.3536 0.2288
F4 0.4844 0.1691 0.6783
```

Results
**DFT total energy**: -65.22 eV for the cell shown

Material: NaTiNiF6
Method: DFT, GGA+U
State: relaxed

The structure in CIF format:
```
data_NaTiNiF6
_symmetry_space_group_name_H-M 'P -3 1 c'
_symmetry_Int_Tables_number 163
_symmetry_space_group_name_Hall '-P 3 2c'
_cell_length_a 5.3670
_cell_length_b 5.3670
_cell_length_c 9.6728
_cell_angle_alpha 90.00
_cell_angle_beta 90.00
_cell_angle_gamma 120.00
loop_
_atom_site_label
_atom_site_fract_x
_atom_site_fract_y
_atom_site_fract_z
Na1 0.0000 0.0000 0.0000
Ti1 0.3333 0.6667 0.2500
Ni1 0.3333 0.6667 0.7500
F1 0.0046 0.3631 0.1414
```

Results
**DFT total energy**: -96.60 eV for the cell shown

Material: NaTl2Ni2F7
Method: DFT, GGA+U
State: relaxed

The structure in CIF format:
```
data_NaTl2Ni2F7
_symmetry_space_group_name_H-M 'C 1 2/m 1'
_symmetry_Int_Tables_number 12
_symmetry_space_group_name_Hall '-C 2y'
_cell_length_a 5.7378
_cell_length_b 5.7376
_cell_length_c 11.4539
_cell_angle_alpha 90.00
_cell_angle_beta 104.28
_cell_angle_gamma 90.00
loop_
_atom_site_label
_atom_site_fract_x
_atom_site_fract_y
_atom_site_fract_z
Na1 0.0000 0.0000 0.0000
Tl1 0.1814 0.0000 0.3673
Ni1 0.0876 0.5000 0.1792
F1 0.0000 0.5000 0.0000
F2 0.1656 0.2502 0.8273
F3 0.1770 0.5000 0.3611
```

Results
**DFT total energy**: -99.68 eV for the cell shown

Material: Na2TlNiF6
Method: DFT, GGA+U
State: relaxed

The structure in CIF format:
```
data_Na2TlNiF6
_symmetry_space_group_name_H-M 'F m -3 m'
_symmetry_Int_Tables_number 225
_symmetry_space_group_name_Hall '-F 4 2 3'
_cell_length_a 8.6486
_cell_length_b 8.6486
_cell_length_c 8.6486
_cell_angle_alpha 90.00
_cell_angle_beta 90.00
_cell_angle_gamma 90.00
loop_
_atom_site_label
_atom_site_fract_x
_atom_site_fract_y
_atom_site_fract_z
Na1 0.2500 0.2500 0.2500
Tl1 0.0000 0.0000 0.0000
Ni1 0.0000 0.0000 0.5000
F1 0.0000 0.0000 0.2695
```

Results
**Excess energy over the best structure of this formula in the dataset**: 0.1254 eV per atom

Material: NaTl3Ni2F9
Method: DFT, GGA+U
State: relaxed

The structure in CIF format:
```
data_NaTl3Ni2F9
_symmetry_space_group_name_H-M 'P -3 m 1'
_symmetry_Int_Tables_number 164
_symmetry_space_group_name_Hall '-P 3 2"'
_cell_length_a 5.9028
_cell_length_b 5.9028
_cell_length_c 7.2950
_cell_angle_alpha 90.00
_cell_angle_beta 90.00
_cell_angle_gamma 120.00
loop_
_atom_site_label
_atom_site_fract_x
_atom_site_fract_y
_atom_site_fract_z
Na1 0.0000 0.0000 0.0000
Tl1 0.0000 0.0000 0.5000
Tl2 0.3333 0.6667 0.1552
Ni1 0.3333 0.6667 0.6563
F1 0.0000 0.5000 0.5000
F2 0.1683 0.3366 0.8001
```

Results
**DFT total energy**: -60.82 eV for the cell shown

Material: Na2TlNiF6
Method: DFT, GGA+U
State: relaxed

The structure in CIF format:
```
data_Na2TlNiF6
_symmetry_space_group_name_H-M 'R 3'
_symmetry_Int_Tables_number 146
_symmetry_space_group_name_Hall 'R 3'
_cell_length_a 5.7623
_cell_length_b 5.7623
_cell_length_c 15.1591
_cell_angle_alpha 90.00
_cell_angle_beta 90.00
_cell_angle_gamma 120.00
loop_
_atom_site_label
_atom_site_fract_x
_atom_site_fract_y
_atom_site_fract_z
Na1 0.0000 0.0000 0.0000
Na2 0.0000 0.0000 0.4908
Tl1 0.0000 0.0000 0.2799
Ni1 0.0000 0.0000 0.7896
F1 0.0033 0.2763 0.8754
F2 0.0480 0.7010 0.3880
```

Results
**Excess energy over the best structure of this formula in the dataset**: 0.0000 eV per atom

Material: NaTl2Ni3F12
Method: DFT, GGA+U
State: relaxed

The structure in CIF format:
```
data_NaTl2Ni3F12
_symmetry_space_group_name_H-M 'R -3 m'
_symmetry_Int_Tables_number 166
_symmetry_space_group_name_Hall '-R 3 2"'
_cell_length_a 7.3001
_cell_length_b 7.3001
_cell_length_c 15.0541
_cell_angle_alpha 90.00
_cell_angle_beta 90.00
_cell_angle_gamma 120.00
loop_
_atom_site_label
_atom_site_fract_x
_atom_site_fract_y
_atom_site_fract_z
Na1 0.0000 0.0000 0.0000
Tl1 0.0000 0.0000 0.3933
Ni1 0.0000 0.5000 0.5000
F1 0.0594 0.5297 0.8028
F2 0.0733 0.5367 0.3710
```

Results
**DFT total energy**: -214.41 eV for the cell shown

Material: Na2TlNiF8
Method: DFT, GGA+U
State: relaxed

The structure in CIF format:
```
data_Na2TlNiF8
_symmetry_space_group_name_H-M 'P 1 2/m 1'
_symmetry_Int_Tables_number 10
_symmetry_space_group_name_Hall '-P 2y'
_cell_length_a 5.0454
_cell_length_b 6.7092
_cell_length_c 5.0943
_cell_angle_alpha 90.00
_cell_angle_beta 92.07
_cell_angle_gamma 90.00
loop_
_atom_site_label
_atom_site_fract_x
_atom_site_fract_y
_atom_site_fract_z
Na1 0.0000 0.2341 0.0000
Tl1 0.5000 0.5000 0.5000
Ni1 0.5000 0.0000 0.5000
F1 0.1986 0.5000 0.2050
F2 0.2344 0.0000 0.2394
F3 0.3213 0.2203 0.6808
```

Results
**DFT total energy**: -48.12 eV for the cell shown

Material: NaTlNiF6
Method: DFT, GGA+U
State: relaxed

The structure in CIF format:
```
data_NaTlNiF6
_symmetry_space_group_name_H-M 'P -3 1 c'
_symmetry_Int_Tables_number 163
_symmetry_space_group_name_Hall '-P 3 2c'
_cell_length_a 5.6114
_cell_length_b 5.6114
_cell_length_c 9.5595
_cell_angle_alpha 90.00
_cell_angle_beta 90.00
_cell_angle_gamma 120.00
loop_
_atom_site_label
_atom_site_fract_x
_atom_site_fract_y
_atom_site_fract_z
Na1 0.0000 0.0000 0.0000
Tl1 0.3333 0.6667 0.2500
Ni1 0.3333 0.6667 0.7500
F1 0.0240 0.3664 0.6352
```

Results
**DFT total energy**: -73.97 eV for the cell shown

Material: Na2TlNi3F12
Method: DFT, GGA+U
State: relaxed

The structure in CIF format:
```
data_Na2TlNi3F12
_symmetry_space_group_name_H-M 'R -3 m'
_symmetry_Int_Tables_number 166
_symmetry_space_group_name_Hall '-R 3 2"'
_cell_length_a 7.3731
_cell_length_b 7.3731
_cell_length_c 18.1852
_cell_angle_alpha 90.00
_cell_angle_beta 90.00
_cell_angle_gamma 120.00
loop_
_atom_site_label
_atom_site_fract_x
_atom_site_fract_y
_atom_site_fract_z
Na1 0.0000 0.0000 0.2062
Tl1 0.0000 0.0000 0.5000
Ni1 0.0000 0.5000 0.0000
F1 0.0294 0.5147 0.1103
F2 0.0877 0.5438 0.3491
```

Results
**DFT total energy**: -218.34 eV for the cell shown

Material: NaTmNiF6
Method: DFT, GGA+U
State: relaxed

The structure in CIF format:
```
data_NaTmNiF6
_symmetry_space_group_name_H-M 'P -3 1 c'
_symmetry_Int_Tables_number 163
_symmetry_space_group_name_Hall '-P 3 2c'
_cell_length_a 5.5513
_cell_length_b 5.5513
_cell_length_c 9.6365
_cell_angle_alpha 90.00
_cell_angle_beta 90.00
_cell_angle_gamma 120.00
loop_
_atom_site_label
_atom_site_fract_x
_atom_site_fract_y
_atom_site_fract_z
Na1 0.0000 0.0000 0.0000
Tm1 0.3333 0.6667 0.2500
Ni1 0.3333 0.6667 0.7500
F1 0.0161 0.3647 0.6366
```

Results
**DFT total energy**: -96.16 eV for the cell shown

Material: NaVNiF6
Method: DFT, GGA+U
State: relaxed

The structure in CIF format:
```
data_NaVNiF6
_symmetry_space_group_name_H-M 'P -3 1 c'
_symmetry_Int_Tables_number 163
_symmetry_space_group_name_Hall '-P 3 2c'
_cell_length_a 5.3137
_cell_length_b 5.3137
_cell_length_c 9.7672
_cell_angle_alpha 90.00
_cell_angle_beta 90.00
_cell_angle_gamma 120.00
loop_
_atom_site_label
_atom_site_fract_x
_atom_site_fract_y
_atom_site_fract_z
Na1 0.0000 0.0000 0.0000
V1 0.3333 0.6667 0.2500
Ni1 0.3333 0.6667 0.7500
F1 0.0072 0.3643 0.1411
```

Results
**DFT total energy**: -91.44 eV for the cell shown

Material: Na2VNiF7
Method: DFT, GGA+U
State: relaxed

The structure in CIF format:
```
data_Na2VNiF7
_symmetry_space_group_name_H-M 'I m m a'
_symmetry_Int_Tables_number 74
_symmetry_space_group_name_Hall '-I 2b 2'
_cell_length_a 7.3287
_cell_length_b 10.4509
_cell_length_c 7.5443
_cell_angle_alpha 90.00
_cell_angle_beta 90.00
_cell_angle_gamma 90.00
loop_
_atom_site_label
_atom_site_fract_x
_atom_site_fract_y
_atom_site_fract_z
Na1 0.0000 0.0000 0.0000
Na2 0.2500 0.2500 0.2500
V1 0.0000 0.0000 0.5000
Ni1 0.2500 0.2500 0.7500
F1 0.0000 0.0927 0.2691
F2 0.0000 0.2500 0.8487
F3 0.2016 0.1168 0.5622
```

Results
**DFT total energy**: -221.04 eV for the cell shown

Material: NaNiWF2
Method: DFT, GGA+U
State: relaxed

The structure in CIF format:
```
data_NaNiWF2
_symmetry_space_group_name_H-M 'P 4/m m m'
_symmetry_Int_Tables_number 123
_symmetry_space_group_name_Hall '-P 4 2'
_cell_length_a 3.9810
_cell_length_b 3.9810
_cell_length_c 5.5104
_cell_angle_alpha 90.00
_cell_angle_beta 90.00
_cell_angle_gamma 90.00
loop_
_atom_site_label
_atom_site_fract_x
_atom_site_fract_y
_atom_site_fract_z
Na1 0.0000 0.0000 0.0000
Ni1 0.5000 0.5000 0.5000
W1 0.0000 0.0000 0.5000
F1 0.0000 0.5000 0.0000
```

Results
**Excess energy over the best structure of this formula in the dataset**: 0.9017 eV per atom

Material: NaNiWF2
Method: DFT, GGA+U
State: relaxed

The structure in CIF format:
```
data_NaNiWF2
_symmetry_space_group_name_H-M 'P 4/m m m'
_symmetry_Int_Tables_number 123
_symmetry_space_group_name_Hall '-P 4 2'
_cell_length_a 4.2160
_cell_length_b 4.2160
_cell_length_c 6.8985
_cell_angle_alpha 90.00
_cell_angle_beta 90.00
_cell_angle_gamma 90.00
loop_
_atom_site_label
_atom_site_fract_x
_atom_site_fract_y
_atom_site_fract_z
Na1 0.0000 0.0000 0.0000
Ni1 0.5000 0.5000 0.0000
W1 0.0000 0.0000 0.5000
F1 0.0000 0.5000 0.5000
```

Results
**Excess energy over the best structure of this formula in the dataset**: 0.0000 eV per atom

Material: Na3Zn2NiF9
Method: DFT, GGA+U
State: relaxed

The structure in CIF format:
```
data_Na3Zn2NiF9
_symmetry_space_group_name_H-M 'P -3 m 1'
_symmetry_Int_Tables_number 164
_symmetry_space_group_name_Hall '-P 3 2"'
_cell_length_a 5.6957
_cell_length_b 5.6957
_cell_length_c 6.9870
_cell_angle_alpha 90.00
_cell_angle_beta 90.00
_cell_angle_gamma 120.00
loop_
_atom_site_label
_atom_site_fract_x
_atom_site_fract_y
_atom_site_fract_z
Na1 0.0000 0.0000 0.0000
Na2 0.3333 0.6667 0.6543
Zn1 0.3333 0.6667 0.1672
Ni1 0.0000 0.0000 0.5000
F1 0.0000 0.5000 0.0000
F2 0.1664 0.3327 0.3370
```

Results
**DFT total energy**: -62.24 eV for the cell shown

| no. | total moment (μB per cell) |
| --- | --- |
| 1 | 14.99 |
| 2 | 3.81 |
| 3 | 1.95 |
| 4 | 6.00 |
| 5 | 7.99 |
| 6 | 5.13 |
| 7 | 4.54 |
| 8 | 4.03 |
| 9 | 16.58 |
| 10 | 3.11 |
| 11 | 3.85 |
| 12 | 15.00 |
| 13 | 3.81 |
| 14 | 8.00 |
| 15 | 16.00 |
| 16 | 3.51 |
| 17 | 4.97 |
| 18 | 2.00 |